An optimized crystal structure of Sc2MnRuC. Source: the Alexandria database, functional PBE.

Computed properties:
The density of states at the Fermi level comes out at 3.3 states/eV/cell. As for the formation enthalpy at 0 K: -0.28 eV per atom. The crystal system is tetragonal.

Geometry as CIF:
```
data_Sc2MnRuC
_cell_length_a 4.515
_cell_length_b 4.515
_cell_length_c 3.663
_cell_angle_alpha 90.00
_cell_angle_beta 90.00
_cell_angle_gamma 90.00
_space_group_name_H-M_alt 'P 4/m m m'
_space_group_IT_number 123
_space_group_name_Hall '-P 4 2'
loop_
_atom_site_label
_atom_site_type_symbol
_atom_site_fract_x
_atom_site_fract_y
_atom_site_fract_z
Sc1 Sc 0.000 0.500 0.000
Mn1 Mn 0.000 0.000 0.500
Ru1 Ru 0.500 0.500 0.500
C1 C 0.000 0.000 0.000
```